# KSiSe4 (PBE, optimized geometry)
# **DFT total energy**: -0.226 Ry/atom
# **Raw formation energy**: 0.34 eV/atom
# **Spin magnetization**: 0.1373 μB per atom
data_KSiSe4
_cell_length_a 5.873
_cell_length_b 5.873
_cell_length_c 5.873
_cell_angle_alpha 60.00
_cell_angle_beta 60.00
_cell_angle_gamma 60.00
_symmetry_space_group_name_H-M 'P 1'
_symmetry_Int_Tables_number 1
loop_
_symmetry_equiv_pos_as_xyz
'x,y,z'
loop_
_atom_site_label
_atom_site_type_symbol
_atom_site_fract_x
_atom_site_fract_y
_atom_site_fract_z
K1 K 0.000 0.000 0.000
Si1 Si 0.250 0.250 0.250
Se1 Se 0.128 0.624 0.624
Se2 Se 0.624 0.128 0.624
Se3 Se 0.624 0.624 0.128
Se4 Se 0.624 0.624 0.624